No. 1
First-principles (PBE) data for Zr11Ga9Ni4 after structural relaxation, as listed in Alexandria.

Output
* V: 18.0 Å³ per atom
* raw total energy: -6.5453 eV per atom

abc: 3.329 11.878 11.878
angles: 113.16 90.00 90.00
Fractional positions:
Ga (0.500, 0.075, 0.217)
Ga (0.500, 0.163, 0.628)
Ga (0.500, 0.783, 0.925)
Ga (0.500, 0.628, 0.163)
Ga (0.500, 0.837, 0.372)
Ga (0.500, 0.500, 0.500)
Ga (0.500, 0.372, 0.837)
Ga (0.500, 0.217, 0.075)
Ga (0.500, 0.925, 0.783)
Zr (0.000, 0.626, 0.374)
Zr (0.000, 0.161, 0.839)
Zr (0.000, 0.000, 0.000)
Zr (0.000, 0.374, 0.626)
Zr (0.000, 0.839, 0.161)
Zr (0.000, 0.310, 0.310)
Zr (0.000, 0.407, 0.059)
Zr (0.000, 0.059, 0.407)
Zr (0.000, 0.941, 0.593)
Zr (0.000, 0.593, 0.941)
Zr (0.000, 0.690, 0.690)
Ni (0.500, 0.756, 0.553)
Ni (0.500, 0.553, 0.756)
Ni (0.500, 0.244, 0.447)
Ni (0.500, 0.447, 0.244)

=====

No. 2
First-principles (PBE) data for Zr2Ga4Ni5 after structural relaxation, as listed in Alexandria.

Output
* V: 15.1 Å³ per atom
* raw total energy: -5.6312 eV per atom

abc: 5.173 5.075 7.780
angles: 80.24 70.58 59.36
Fractional positions:
Ni (0.000, 0.500, 0.000)
Ni (0.750, 0.500, 0.500)
Ni (0.500, 0.500, 0.000)
Ni (0.500, 0.000, 0.000)
Ni (0.250, 0.500, 0.500)
Zr (0.872, 0.000, 0.256)
Zr (0.128, 0.000, 0.744)
Ga (0.215, 0.309, 0.262)
Ga (0.477, 0.309, 0.738)
Ga (0.785, 0.691, 0.738)
Ga (0.523, 0.691, 0.262)

=====

No. 3
First-principles (PBE) data for ZrGa2Ni after structural relaxation, as listed in Alexandria.

Output
* V: 17.7 Å³ per atom
* raw total energy: -5.1805 eV per atom

abc: 3.851 3.851 9.905
angles: 78.79 78.79 90.00
Fractional positions:
Ga (0.875, 0.853, 0.750)
Ga (0.147, 0.625, 0.250)
Ga (0.603, 0.125, 0.250)
Ga (0.375, 0.397, 0.750)
Ni (0.500, 0.500, 0.000)
Ni (0.250, 0.750, 0.500)
Zr (0.000, 0.000, 0.000)
Zr (0.750, 0.250, 0.500)

=====

No. 4
First-principles (PBE) data for ZrGa2Ni after structural relaxation, as listed in Alexandria.

Output
* V: 15.9 Å³ per atom
* raw total energy: -5.6557 eV per atom

abc: 4.106 6.344 9.739
angles: 90.00 90.00 90.00
Fractional positions:
Ga (0.250, 0.941, 0.163)
Ga (0.750, 0.761, 0.041)
Ga (0.250, 0.441, 0.337)
Ga (0.750, 0.261, 0.459)
Ga (0.750, 0.059, 0.837)
Ga (0.250, 0.739, 0.541)
Ga (0.750, 0.559, 0.663)
Ga (0.250, 0.239, 0.959)
Ni (0.750, 0.437, 0.904)
Ni (0.250, 0.063, 0.404)
Ni (0.250, 0.563, 0.096)
Ni (0.750, 0.937, 0.596)
Zr (0.250, 0.246, 0.667)
Zr (0.250, 0.746, 0.833)
Zr (0.750, 0.754, 0.333)
Zr (0.750, 0.254, 0.167)

=====

No. 5
First-principles (PBE) data for Zr3GaNi12 after structural relaxation, as listed in Alexandria.

Output
* V: 12.8 Å³ per atom
* raw total energy: -6.5323 eV per atom

abc: 3.729 3.729 14.737
angles: 90.00 90.00 90.00
Fractional positions:
Ni (0.000, 0.500, 0.115)
Ni (0.500, 0.500, 0.500)
Ni (0.000, 0.500, 0.372)
Ni (0.500, 0.000, 0.628)
Ni (0.500, 0.500, 0.000)
Ni (0.500, 0.500, 0.755)
Ni (0.500, 0.000, 0.372)
Ni (0.000, 0.500, 0.885)
Ni (0.500, 0.000, 0.115)
Ni (0.000, 0.500, 0.628)
Ni (0.500, 0.500, 0.245)
Ni (0.500, 0.000, 0.885)
Zr (0.000, 0.000, 0.759)
Zr (0.000, 0.000, 0.500)
Zr (0.000, 0.000, 0.241)
Ga (0.000, 0.000, 0.000)

=====

No. 6
First-principles (PBE) data for ZrGa6Ni6 after structural relaxation, as listed in Alexandria.

Output
* V: 13.5 Å³ per atom
* raw total energy: -5.1759 eV per atom

abc: 4.983 6.445 6.445
angles: 78.96 67.26 67.26
Fractional positions:
Ni (0.500, 0.240, 0.760)
Ni (0.000, 0.000, 0.500)
Ni (0.500, 0.000, 0.500)
Ni (0.500, 0.500, 0.000)
Ni (0.500, 0.760, 0.240)
Ni (0.000, 0.500, 0.000)
Ga (0.323, 0.177, 0.177)
Ga (0.659, 0.341, 0.341)
Ga (0.000, 0.337, 0.663)
Ga (0.677, 0.823, 0.823)
Ga (0.000, 0.663, 0.337)
Ga (0.341, 0.659, 0.659)
Zr (0.000, 0.000, 0.000)

=====

No. 7
First-principles (PBE) data for Zr2Ga3Ni4 after structural relaxation, as listed in Alexandria.

Output
* V: 14.7 Å³ per atom
* raw total energy: -5.9832 eV per atom

abc: 5.195 7.016 7.698
angles: 90.00 109.72 90.00
Fractional positions:
Ni (0.816, 0.250, 0.133)
Ni (0.684, 0.750, 0.867)
Ni (0.328, 0.484, 0.655)
Ni (0.316, 0.250, 0.133)
Ni (0.184, 0.750, 0.867)
Ni (0.172, 0.984, 0.345)
Ni (0.672, 0.516, 0.345)
Ni (0.828, 0.016, 0.655)
Ga (0.500, 0.500, 0.000)
Ga (0.015, 0.750, 0.530)
Ga (0.985, 0.250, 0.470)
Ga (0.485, 0.250, 0.470)
Ga (0.000, 0.000, 0.000)
Ga (0.515, 0.750, 0.530)
Zr (0.897, 0.408, 0.795)
Zr (0.603, 0.908, 0.205)
Zr (0.103, 0.592, 0.205)
Zr (0.397, 0.092, 0.795)

=====

No. 8
First-principles (PBE) data for ZrGaNi after structural relaxation, as listed in Alexandria.

Output
* V: 17.7 Å³ per atom
* raw total energy: -6.2541 eV per atom

abc: 4.216 4.216 4.216
angles: 60.00 60.00 60.00
Each line ends with the local moment (μB).
Fractional positions:
Ni (0.250, 0.250, 0.250)  0.04
Zr (0.000, 0.000, 0.000)  0.07
Ga (0.500, 0.500, 0.500)  0.03

=====

No. 9
First-principles (PBE) data for ZrGaNi2 after structural relaxation, as listed in Alexandria.

Output
* V: 16.1 Å³ per atom
* raw total energy: -5.8257 eV per atom

abc: 3.927 3.927 8.824
angles: 77.14 77.14 90.00
Fractional positions:
Ni (0.375, 0.429, 0.750)
Ni (0.179, 0.625, 0.250)
Ni (0.875, 0.821, 0.750)
Ni (0.571, 0.125, 0.250)
Zr (0.000, 0.000, 0.000)
Zr (0.750, 0.250, 0.500)
Ga (0.250, 0.750, 0.500)
Ga (0.500, 0.500, 0.000)

=====

No. 10
First-principles (PBE) data for Zr6Ga3Ni after structural relaxation, as listed in Alexandria.

Output
* V: 20.6 Å³ per atom
* raw total energy: -6.9055 eV per atom

abc: 5.504 7.740 9.661
angles: 90.00 88.37 90.00
Fractional positions:
Ni (0.000, 0.000, 0.000)
Ni (0.500, 0.500, 0.500)
Zr (0.405, 0.818, 0.436)
Zr (0.095, 0.318, 0.064)
Zr (0.350, 0.543, 0.742)
Zr (0.150, 0.043, 0.758)
Zr (0.650, 0.457, 0.258)
Zr (0.395, 0.834, 0.064)
Zr (0.905, 0.682, 0.936)
Zr (0.895, 0.666, 0.564)
Zr (0.595, 0.182, 0.564)
Zr (0.850, 0.957, 0.242)
Zr (0.105, 0.334, 0.436)
Zr (0.605, 0.166, 0.936)
Ga (0.500, 0.500, 0.000)
Ga (0.391, 0.121, 0.256)
Ga (0.609, 0.879, 0.744)
Ga (0.109, 0.621, 0.244)
Ga (0.891, 0.379, 0.756)
Ga (0.000, 0.000, 0.500)

=====

No. 11
First-principles (PBE) data for Zr2Ga2Ni15 after structural relaxation, as listed in Alexandria.

Output
* V: 12.5 Å³ per atom
* raw total energy: -6.0179 eV per atom

abc: 6.237 6.237 6.237
angles: 82.30 82.30 82.30
Each line ends with the local moment (μB).
Fractional positions:
Ni (0.500, 0.000, 0.000)  0.15
Ni (0.000, 0.500, 0.000)  0.15
Ni (0.159, 0.653, 0.653)  0.16
Ni (0.692, 0.000, 0.308)  0.14
Ni (0.347, 0.841, 0.347)  0.16
Ni (0.308, 0.692, 0.000)  0.14
Ni (0.000, 0.692, 0.308)  0.14
Ni (0.653, 0.159, 0.653)  0.16
Ni (0.653, 0.653, 0.159)  0.16
Ni (0.347, 0.347, 0.841)  0.16
Ni (0.308, 0.000, 0.692)  0.14
Ni (0.692, 0.308, 0.000)  0.14
Ni (0.841, 0.347, 0.347)  0.16
Ni (0.000, 0.308, 0.692)  0.14
Ni (0.000, 0.000, 0.500)  0.15
Ga (0.895, 0.895, 0.895)  0.00
Ga (0.105, 0.105, 0.105)  0.00
Zr (0.352, 0.352, 0.352)  -0.03
Zr (0.648, 0.648, 0.648)  -0.03

=====

No. 12
First-principles (PBE) data for ZrGaNi after structural relaxation, as listed in Alexandria.

Output
* V: 15.9 Å³ per atom
* raw total energy: -6.4331 eV per atom

abc: 3.473 6.904 6.904
angles: 120.00 90.00 90.00
Fractional positions:
Zr (0.500, 0.597, 0.000)
Zr (0.500, 0.000, 0.597)
Zr (0.500, 0.403, 0.403)
Ga (0.000, 0.259, 0.000)
Ga (0.000, 0.000, 0.259)
Ga (0.000, 0.741, 0.741)
Ni (0.500, 0.000, 0.000)
Ni (0.000, 0.667, 0.333)
Ni (0.000, 0.333, 0.667)

=====

No. 13
First-principles (PBE) data for Zr2Ga2Ni after structural relaxation, as listed in Alexandria.

Output
* V: 17.5 Å³ per atom
* energy above the most stable polymorph in this dataset: 0.0 kJ per mole of atoms
* raw total energy: -6.3814 eV per atom

abc: 4.026 5.397 8.946
angles: 81.58 77.00 68.10
Fractional positions:
Ni (0.218, 0.906, 0.659)
Ni (0.782, 0.094, 0.341)
Ga (0.148, 0.265, 0.439)
Ga (0.972, 0.172, 0.884)
Ga (0.852, 0.735, 0.561)
Ga (0.028, 0.828, 0.116)
Zr (0.685, 0.738, 0.891)
Zr (0.315, 0.262, 0.109)
Zr (0.501, 0.323, 0.675)
Zr (0.499, 0.677, 0.325)

=====

No. 14
First-principles (PBE) data for Zr3Ga8Ni3 after structural relaxation, as listed in Alexandria.

Output
* V: 16.0 Å³ per atom
* raw total energy: -5.2644 eV per atom

abc: 4.108 7.807 7.763
angles: 71.85 74.66 74.75
Fractional positions:
Ga (0.501, 0.327, 0.672)
Ga (0.144, 0.147, 0.566)
Ga (0.856, 0.853, 0.434)
Ga (0.648, 0.959, 0.745)
Ga (0.852, 0.429, 0.868)
Ga (0.148, 0.571, 0.132)
Ga (0.352, 0.041, 0.255)
Ga (0.499, 0.673, 0.328)
Zr (0.000, 0.000, 0.000)
Zr (0.707, 0.307, 0.280)
Zr (0.293, 0.693, 0.720)
Ni (0.349, 0.299, 0.002)
Ni (0.000, 0.500, 0.500)
Ni (0.651, 0.701, 0.998)

=====

No. 15
First-principles (PBE) data for ZrGa3Ni after structural relaxation, as listed in Alexandria.

Output
* V: 16.0 Å³ per atom
* energy above the most stable polymorph in this dataset: 0.0 kJ per mole of atoms
* raw total energy: -5.0960 eV per atom

abc: 5.414 7.263 8.181
angles: 96.70 90.00 90.00
Fractional positions:
Ga (0.109, 0.870, 0.785)
Ga (0.829, 0.499, 0.885)
Ga (0.373, 0.058, 0.621)
Ga (0.891, 0.130, 0.215)
Ga (0.873, 0.442, 0.379)
Ga (0.171, 0.501, 0.115)
Ga (0.671, 0.999, 0.885)
Ga (0.127, 0.558, 0.621)
Ga (0.391, 0.370, 0.785)
Ga (0.329, 0.001, 0.115)
Ga (0.609, 0.630, 0.215)
Ga (0.627, 0.942, 0.379)
Ni (0.061, 0.209, 0.947)
Ni (0.561, 0.291, 0.053)
Ni (0.939, 0.791, 0.053)
Ni (0.439, 0.709, 0.947)
Zr (0.875, 0.193, 0.623)
Zr (0.125, 0.807, 0.377)
Zr (0.375, 0.307, 0.377)
Zr (0.625, 0.693, 0.623)

=====

No. 16
First-principles (PBE) data for ZrGaNi after structural relaxation, as listed in Alexandria.

Output
* V: 15.9 Å³ per atom
* raw total energy: -6.2261 eV per atom

abc: 3.073 3.073 5.498
angles: 106.23 106.23 90.00
Fractional positions:
Zr (0.609, 0.609, 0.219)
Ni (0.933, 0.933, 0.866)
Ga (0.308, 0.308, 0.615)

=====

No. 17
First-principles (PBE) data for Np2Ga13 after structural relaxation, as listed in Alexandria.

Output
* V: 20.3 Å³ per atom
* raw total energy: -4.4135 eV per atom

abc: 5.971 5.971 10.434
angles: 73.37 73.37 60.00
Each line ends with the local moment (μB).
Fractional positions:
Ga (0.023, 0.552, 0.874)  -0.03
Ga (0.552, 0.552, 0.874)  -0.03
Ga (0.806, 0.256, 0.681)  -0.02
Ga (0.977, 0.448, 0.126)  -0.03
Ga (0.256, 0.806, 0.681)  -0.02
Ga (0.552, 0.023, 0.874)  -0.03
Ga (0.448, 0.448, 0.126)  -0.03
Ga (0.448, 0.977, 0.126)  -0.03
Ga (0.744, 0.744, 0.319)  -0.02
Ga (0.744, 0.194, 0.319)  -0.02
Ga (0.194, 0.744, 0.319)  -0.02
Ga (0.256, 0.256, 0.681)  -0.02
Ga (0.500, 0.500, 0.500)  -0.03
Np (0.201, 0.201, 0.396)  3.79
Np (0.799, 0.799, 0.604)  3.79

=====

No. 18
First-principles (PBE) data for Np4Ga after structural relaxation, as listed in Alexandria.

Output
* V: 31.3 Å³ per atom
* raw total energy: -9.4898 eV per atom

abc: 5.387 5.387 5.387
angles: 90.00 90.00 90.00
Each line ends with the local moment (μB).
Fractional positions:
Np (0.500, 0.500, 0.000)  -4.05
Np (0.000, 0.000, 0.000)  3.87
Np (0.000, 0.500, 0.500)  -4.05
Np (0.500, 0.000, 0.500)  -4.05
Ga (0.500, 0.500, 0.500)  -0.14

=====

No. 19
First-principles (PBE) data for Np6Ga after structural relaxation, as listed in Alexandria.

Output
* V: 22.7 Å³ per atom
* raw total energy: -10.9165 eV per atom

abc: 5.914 5.914 5.914
angles: 109.47 109.47 109.47
Fractional positions:
Np (0.250, 0.500, 0.750)
Np (0.500, 0.750, 0.250)
Np (0.750, 0.250, 0.500)
Np (0.250, 0.750, 0.500)
Np (0.500, 0.250, 0.750)
Np (0.750, 0.500, 0.250)
Ga (0.000, 0.000, 0.000)

=====

No. 20
First-principles (PBE) data for NpGa3 after structural relaxation, as listed in Alexandria.

Output
* V: 19.4 Å³ per atom
* raw total energy: -5.5945 eV per atom

abc: 2.756 5.527 5.952
angles: 117.67 103.39 90.00
Each line ends with the local moment (μB).
Fractional positions:
Ga (0.500, 0.514, 0.000)  -0.04
Ga (0.252, 0.570, 0.503)  0.02
Ga (0.748, 0.067, 0.497)  0.02
Np (0.000, 0.016, 0.000)  3.95